Entry 1:
# LiZrAl, optimized geometry, DFT GGA-PBE
data_LiZrAl
_cell_length_a 4.8275
_cell_length_b 4.8275
_cell_length_c 5.6445
_cell_angle_alpha 90.00
_cell_angle_beta 90.00
_cell_angle_gamma 120.00
_symmetry_space_group_name_H-M 'P 63/m m c'
_symmetry_Int_Tables_number 194
_symmetry_space_group_name_Hall '-P 6c 2c'
loop_
_atom_site_label
_atom_site_fract_x
_atom_site_fract_y
_atom_site_fract_z
Li1 0.0000 0.0000 0.0000
Zr1 0.3333 0.6667 0.2500
Al1 0.3333 0.6667 0.7500
# - Crystal system: hexagonal
# - DFT formation energy: -148 meV per atom
# - Energy above the lowest structure with this stoichiometry: 0.071 eV/atom
# - ρ: 3.65 Mg/m³
# - Total magnetic moment: 0.00 μB per formula unit



Entry 2:
# Li3ZrAl, optimized geometry, DFT GGA-PBE
data_Li3ZrAl
_cell_length_a 5.112
_cell_length_b 5.112
_cell_length_c 5.112
_cell_angle_alpha 90.00
_cell_angle_beta 90.00
_cell_angle_gamma 90.00
_symmetry_space_group_name_H-M 'P m -3 m'
_symmetry_Int_Tables_number 221
_symmetry_space_group_name_Hall '-P 4 2 3'
loop_
_atom_site_label
_atom_site_fract_x
_atom_site_fract_y
_atom_site_fract_z
Li1 0.000 0.000 0.500
Zr1 0.000 0.000 0.000
Al1 0.500 0.500 0.500
# - Crystal system: cubic
# - DFT formation energy: 1285 meV per atom
# - Energy above the lowest structure with this stoichiometry: 0.722 eV/atom
# - ρ: 1.73 Mg/m³
# - Total magnetic moment: 2.99 μB per formula unit



Entry 3:
# LiZrAl, optimized geometry, DFT GGA-PBE
data_LiZrAl
_cell_length_a 10.450
_cell_length_b 3.087
_cell_length_c 7.204
_cell_angle_alpha 90.00
_cell_angle_beta 109.47
_cell_angle_gamma 90.00
_symmetry_space_group_name_H-M 'C 1 2/m 1'
_symmetry_Int_Tables_number 12
_symmetry_space_group_name_Hall '-C 2y'
loop_
_atom_site_label
_atom_site_fract_x
_atom_site_fract_y
_atom_site_fract_z
Li1 0.165 0.000 0.051
Zr1 0.154 0.000 0.578
Al1 0.018 0.500 0.220
# - Crystal system: monoclinic
# - DFT formation energy: -156 meV per atom
# - Energy above the lowest structure with this stoichiometry: 0.064 eV/atom
# - ρ: 3.79 Mg/m³
# - Total magnetic moment: 0.00 μB per formula unit



Entry 4:
# LiZrAl, optimized geometry, DFT GGA-PBE
data_LiZrAl
_cell_length_a 3.897
_cell_length_b 3.897
_cell_length_c 7.080
_cell_angle_alpha 90.00
_cell_angle_beta 90.00
_cell_angle_gamma 90.00
_symmetry_space_group_name_H-M 'P 4/n m m'
_symmetry_Int_Tables_number 129
loop_
_symmetry_equiv_pos_as_xyz
'x,y,z'
'-x,-y,-z'
'-y+1/2,x,z'
'y+1/2,-x,-z'
'-x+1/2,-y+1/2,z'
'x+1/2,y+1/2,-z'
'y,-x+1/2,z'
'-y,x+1/2,-z'
'x+1/2,-y,-z'
'-x+1/2,y,z'
'-y,-x,-z'
'y,x,z'
'-x,y+1/2,-z'
'x,-y+1/2,z'
'y+1/2,x+1/2,-z'
'-y+1/2,-x+1/2,z'
loop_
_atom_site_label
_atom_site_fract_x
_atom_site_fract_y
_atom_site_fract_z
Li1 0.250 0.250 0.235
Zr1 0.250 0.250 0.641
Al1 0.250 0.750 0.000
# - Crystal system: tetragonal
# - DFT formation energy: 29 meV per atom
# - Energy above the lowest structure with this stoichiometry: 0.248 eV/atom
# - ρ: 3.87 Mg/m³
# - Total magnetic moment: 0.00 μB per formula unit



- Among the records above, which one has the highest energy above the lowest structure with this stoichiometry?
  Li3ZrAl



- What is the formula in the second record?
  Li3ZrAl



- Which formula does entry 4 have?
  LiZrAl



- Which formula does entry 3 have?
  LiZrAl